This record from the Alexandria database describes a relaxed structure of Si2HgIr. The functional is PBE-GGA.

- energy (eV per formula unit) = -17.9
- DOS at the Fermi energy (states/eV/f.u.) = 1.84

a b c (Å): 5.4783 8.1877 3.3179
angles (deg): 90.00 114.61 90.00
Space group C2/m (No. 12)
One atom of each set of equivalent atoms:
Si 0.2500 0.2500 0.0000 x4
Hg 0.0000 0.0000 0.5000 x2
Ir 0.0000 0.5000 0.5000 x2

This record from the Alexandria database describes a relaxed structure of Si2HgIr. The functional is PBE-GGA.

- energy (eV per formula unit) = -20.6
- DOS at the Fermi energy (states/eV/f.u.) = 2.32

a b c (Å): 6.9272 3.9931 6.6998
angles (deg): 90.00 109.81 90.00
Space group Cm (No. 8)
One atom of each set of equivalent atoms:
Si 0.0000 0.0000 0.0000 x2
Si 0.0903 0.5000 0.7683 x2
Hg 0.4583 0.0000 0.3718 x2
Ir 0.3115 0.0000 0.9343 x2

This record from the Alexandria database describes a relaxed structure of Si2HgIr. The functional is PBE-GGA.

- energy (eV per formula unit) = -20.2
- DOS at the Fermi energy (states/eV/f.u.) = 0.94

a b c (Å): 6.9543 4.0038 7.1158
angles (deg): 90.00 111.12 90.00
Space group C2/m (No. 12)
One atom of each set of equivalent atoms:
Si 0.1278 0.0000 0.3949 x4
Hg 0.0000 0.0000 0.0000 x2
Ir 0.0000 0.5000 0.5000 x2

This record from the Alexandria database describes a relaxed structure of SiHg4Ir. The functional is PBE-GGA.

- energy (eV per formula unit) = -10.2
- DOS at the Fermi energy (states/eV/f.u.) = 3.66

a b c (Å): 7.9847 7.9847 7.9847
angles (deg): 90.00 90.00 90.00
Space group F-43m (No. 216)
One atom of each set of equivalent atoms:
Si 0.0000 0.0000 0.0000 x4
Hg 0.1246 0.1246 0.6246 x16
Ir 0.2500 0.2500 0.2500 x4